A plane-wave DFT calculation with PBE was carried out for an optimized crystal structure of BaV2RhS.

CIF file:
```
data_BaV2RhS
_chemical_formula_sum 'Ba1 V2 Rh1 S1'
_symmetry_space_group_name_H-M 'P 4/m m m'
_symmetry_Int_Tables_number 123
_symmetry_space_group_name_Hall '-P 4 2'
_cell_length_a 4.511
_cell_length_b 4.511
_cell_length_c 4.758
_cell_angle_alpha 90.00
_cell_angle_beta 90.00
_cell_angle_gamma 90.00
loop_
_atom_site_label
_atom_site_type_symbol
_atom_site_fract_x
_atom_site_fract_y
_atom_site_fract_z
Ba1 Ba 0.000 0.000 0.000
V1 V 0.000 0.500 0.500
Rh1 Rh 0.500 0.500 0.000
S1 S 0.500 0.500 0.500
```

Properties
Crystal system: tetragonal
Energy relative to the elements, uncorrected: 0.2547 eV/atom